This record from OQMD describes an optimized crystal structure of LiBi5Au3. The functional is GGA-PBE.

Values from the calculation:
**Space-group type**: P6/mmm, No. 191
**DFT total energy**: -31.3 eV per cell
**Crystal system**: hexagonal

Cell: 5.9100 5.9100 8.6700 Å, 90.00 90.00 120.00°
Last column: nearest neighbours and their distance in Å.
Sites, in units of the cell vectors:
Bi (0.0000, 0.0000, 0.5000)  6 Au 2.96
Bi (0.3333, 0.6667, 0.8056)  3 Au 3.15, 4 Bi 3.37-3.41
Bi (0.6667, 0.3333, 0.1944)  3 Au 3.15, 4 Bi 3.37-3.41
Bi (0.3333, 0.6667, 0.1944)  3 Au 3.15, 4 Bi 3.37-3.41
Bi (0.6667, 0.3333, 0.8056)  3 Au 3.15, 4 Bi 3.37-3.41
Li (0.0000, 0.0000, 0.0000)  12 Bi 3.81
Au (0.5000, 0.0000, 0.5000)  4 Au 2.96, 6 Bi 2.96-3.15
Au (0.0000, 0.5000, 0.5000)  6 Bi 2.96-3.15, 4 Au 2.96
Au (0.5000, 0.5000, 0.5000)  4 Au 2.96, 6 Bi 2.96-3.15